VASP calculation (PBE) on a relaxed CaPmZn2Pt2 crystal.

Results
- Density of states at the Fermi level: 4.98 states/eV/f.u.
- Energy relative to the elements: -805 meV per atom
- Density: 9.2 g/cm³
- Total DFT energy (no corrections): -4.369 eV per atom

abc: 4.4342 4.4342 7.4752
angles: 90.00 90.00 120.00
Last column: nearest neighbours and their distance in Å.
Sites, in units of the cell vectors:
Ca (0.0000, 0.0000, 0.0000)  6 Zn 3.15, 6 Pt 3.21
Pm (0.0000, 0.0000, 0.5000)  6 Pt 3.13, 6 Zn 3.19
Zn (0.3333, 0.6667, 0.7549)  3 Pt 2.56
Zn (0.6667, 0.3333, 0.2451)  3 Pt 2.56
Pt (0.3333, 0.6667, 0.2592)  3 Zn 2.56
Pt (0.6667, 0.3333, 0.7408)  3 Zn 2.56